1.
## In2SiGe (PBE)

Data for In2SiGe after structural relaxation.

Summary:
Total moment = 0.0 μB/cell
Total energy = -3.510 eV per atom
Volume = 452 Å³ per cell
DOS at the Fermi energy = 1.9 states/eV/f.u.
Energy above the lowest structure with this stoichiometry = 0.004 eV per atom

```
data_In2SiGe
_chemical_formula_sum 'In8 Si4 Ge4'
_space_group_name_H-M_alt 'I -4 2 d'
_space_group_IT_number 122
_space_group_name_Hall 'I -4 2bw'
_cell_length_a 5.604
_cell_length_b 5.604
_cell_length_c 14.398
_cell_angle_alpha 90.00
_cell_angle_beta 90.00
_cell_angle_gamma 90.00
loop_
_atom_site_label
_atom_site_fract_x
_atom_site_fract_y
_atom_site_fract_z
In1 0.239 0.250 0.125
Si1 0.000 0.000 0.000
Ge1 0.000 0.000 0.500
```

2.
## ScPdO (PBE)

Data for ScPdO after structural relaxation.

Summary:
Total moment = 0.0 μB/cell
Total energy = -7.150 eV per atom
Volume = 135 Å³ per cell
DOS at the Fermi energy = 0.5 states/eV/f.u.
Energy above the lowest structure with this stoichiometry = 0.160 eV per atom

```
data_ScPdO
_chemical_formula_sum 'Sc3 Pd3 O3'
_space_group_name_H-M_alt 'P -6 2 m'
_space_group_IT_number 189
_space_group_name_Hall 'P -6 -2'
_cell_length_a 5.7147
_cell_length_b 5.7147
_cell_length_c 4.7749
_cell_angle_alpha 90.00
_cell_angle_beta 90.00
_cell_angle_gamma 120.00
loop_
_atom_site_label
_atom_site_fract_x
_atom_site_fract_y
_atom_site_fract_z
Sc1 0.0000 0.0000 0.0000
Sc2 0.3333 0.6667 0.5000
Pd1 0.0000 0.4633 0.0000
O1 0.0000 0.3030 0.5000
```

3.
## Pr3Si2Rh3 (PBE)

Data for Pr3Si2Rh3 after structural relaxation.

Summary:
Total moment = 0.0 μB/cell
Total energy = -6.808 eV per atom
Volume = 677 Å³ per cell
DOS at the Fermi energy = 4.6 states/eV/f.u.
Energy above the lowest structure with this stoichiometry = 0.000 eV per atom

```
data_Pr3Si2Rh3
_chemical_formula_sum 'Pr12 Si8 Rh12'
_space_group_name_H-M_alt 'P n m a'
_space_group_IT_number 62
_cell_length_a 7.788
_cell_length_b 15.021
_cell_length_c 5.786
_cell_angle_alpha 90.00
_cell_angle_beta 90.00
_cell_angle_gamma 90.00
loop_
_space_group_symop_operation_xyz
'x,y,z'
'-x,-y,-z'
'-x+1/2,-y,z+1/2'
'x+1/2,y,-z+1/2'
'x+1/2,-y+1/2,-z+1/2'
'-x+1/2,y+1/2,z+1/2'
'-x,y+1/2,-z'
'x,-y+1/2,z'
loop_
_atom_site_label
_atom_site_fract_x
_atom_site_fract_y
_atom_site_fract_z
Pr1 0.027 0.108 0.140
Pr2 0.166 0.250 0.615
Si1 0.126 0.598 0.365
Rh1 0.163 0.037 0.603
Rh2 0.181 0.750 0.575
```

4.
## LaPmScIn (PBE)

Data for LaPmScIn after structural relaxation.

Summary:
Total moment = 4.7 μB/cell
Total energy = -4.861 eV per atom
Volume = 473 Å³ per cell
DOS at the Fermi energy = 5.0 states/eV/f.u.
Energy above the lowest structure with this stoichiometry = 0.000 eV per atom

```
data_LaPmScIn
_chemical_formula_sum 'La4 Pm4 Sc4 In4'
_space_group_name_H-M_alt 'F -4 3 m'
_space_group_IT_number 216
_space_group_name_Hall 'F -4 2 3'
_cell_length_a 7.789
_cell_length_b 7.789
_cell_length_c 7.789
_cell_angle_alpha 90.00
_cell_angle_beta 90.00
_cell_angle_gamma 90.00
loop_
_atom_site_label
_atom_site_fract_x
_atom_site_fract_y
_atom_site_fract_z
La1 0.000 0.000 0.000
Pm1 0.000 0.000 0.500
Sc1 0.250 0.250 0.750
In1 0.250 0.250 0.250
```

5.
## Li4YHg2 (PBE)

Data for Li4YHg2 after structural relaxation.

Summary:
Total moment = 0.0 μB/cell
Total energy = -2.385 eV per atom
Volume = 284 Å³ per cell
DOS at the Fermi energy = 4.4 states/eV/f.u.

```
data_Li4YHg2
_chemical_formula_sum 'Li8 Y2 Hg4'
_space_group_name_H-M_alt 'P 42/m n m'
_space_group_IT_number 136
_space_group_name_Hall '-P 4n 2n'
_cell_length_a 7.968
_cell_length_b 7.968
_cell_length_c 4.470
_cell_angle_alpha 90.00
_cell_angle_beta 90.00
_cell_angle_gamma 90.00
loop_
_atom_site_label
_atom_site_fract_x
_atom_site_fract_y
_atom_site_fract_z
Li1 0.097 0.350 0.000
Y1 0.000 0.000 0.500
Hg1 0.211 0.789 0.000
```

6.
## SrLiAl2 (PBE)

Data for SrLiAl2 after structural relaxation.

Summary:
Total moment = 0.0 μB/cell
Total energy = -2.713 eV per atom
Volume = 96 Å³ per cell
DOS at the Fermi energy = 3.0 states/eV/f.u.
Energy above the lowest structure with this stoichiometry = 0.252 eV per atom

```
data_SrLiAl2
_chemical_formula_sum 'Sr1 Li1 Al2'
_space_group_name_H-M_alt 'P m m m'
_space_group_IT_number 47
_cell_length_a 4.265
_cell_length_b 4.515
_cell_length_c 5.001
_cell_angle_alpha 90.00
_cell_angle_beta 90.00
_cell_angle_gamma 90.00
loop_
_space_group_symop_operation_xyz
'x,y,z'
'-x,-y,-z'
'-x,-y,z'
'x,y,-z'
'x,-y,-z'
'-x,y,z'
'-x,y,-z'
'x,-y,z'
loop_
_atom_site_label
_atom_site_fract_x
_atom_site_fract_y
_atom_site_fract_z
Sr1 0.000 0.000 0.000
Li1 0.500 0.500 0.000
Al1 0.000 0.500 0.500
Al2 0.500 0.000 0.500
```

7.
## Pm2Ru2C3 (PBE)

Data for Pm2Ru2C3 after structural relaxation.

Summary:
Total moment = 0.0 μB/cell
Total energy = -7.922 eV per atom
Volume = 357 Å³ per cell
DOS at the Fermi energy = 5.5 states/eV/f.u.
Energy above the lowest structure with this stoichiometry = 0.156 eV per atom

```
data_Pm2Ru2C3
_chemical_formula_sum 'Pm6 Ru6 C9'
_space_group_name_H-M_alt 'R -3 m'
_space_group_IT_number 166
_space_group_name_Hall '-R 3 2"'
_cell_length_a 5.6921
_cell_length_b 5.6921
_cell_length_c 12.7367
_cell_angle_alpha 90.00
_cell_angle_beta 90.00
_cell_angle_gamma 120.00
loop_
_atom_site_label
_atom_site_fract_x
_atom_site_fract_y
_atom_site_fract_z
Pm1 0.0000 0.0000 0.0000
Pm2 0.0000 0.0000 0.5000
Ru1 0.0000 0.0000 0.2397
C1 0.0000 0.5000 0.5000
```

8.
## BaAcAu (PBE)

Data for BaAcAu after structural relaxation.

Summary:
Total moment = 0.0 μB/cell
Total energy = -3.579 eV per atom
Volume = 238 Å³ per cell
DOS at the Fermi energy = 3.2 states/eV/f.u.
Energy above the lowest structure with this stoichiometry = 0.010 eV per atom

```
data_BaAcAu
_chemical_formula_sum 'Ba2 Ac2 Au2'
_space_group_name_H-M_alt 'I 4 m m'
_space_group_IT_number 107
_space_group_name_Hall 'I 4 -2'
_cell_length_a 4.042
_cell_length_b 4.042
_cell_length_c 14.551
_cell_angle_alpha 90.00
_cell_angle_beta 90.00
_cell_angle_gamma 90.00
loop_
_atom_site_label
_atom_site_fract_x
_atom_site_fract_y
_atom_site_fract_z
Ba1 0.000 0.000 0.000
Ac1 0.000 0.000 0.259
Au1 0.000 0.000 0.653
```

9.
## InH2Rh (PBE)

Data for InH2Rh after structural relaxation.

Summary:
Total moment = 0.0 μB/cell
Total energy = -4.299 eV per atom
Volume = 212 Å³ per cell
DOS at the Fermi energy = 1.4 states/eV/f.u.
Energy above the lowest structure with this stoichiometry = 0.052 eV per atom

```
data_InH2Rh
_chemical_formula_sum 'In4 H8 Rh4'
_space_group_name_H-M_alt 'C c c m'
_space_group_IT_number 66
_space_group_name_Hall '-C 2 2c'
_cell_length_a 4.669
_cell_length_b 8.313
_cell_length_c 5.453
_cell_angle_alpha 90.00
_cell_angle_beta 90.00
_cell_angle_gamma 90.00
loop_
_atom_site_label
_atom_site_fract_x
_atom_site_fract_y
_atom_site_fract_z
In1 0.250 0.250 0.000
H1 0.225 0.049 0.500
Rh1 0.000 0.000 0.250
```

10.
## Be2ReH (PBE)

Data for Be2ReH after structural relaxation.

Summary:
Total moment = 0.0 μB/cell
Total energy = -5.687 eV per atom
Volume = 131 Å³ per cell
DOS at the Fermi energy = 1.2 states/eV/f.u.
Energy above the lowest structure with this stoichiometry = 0.000 eV per atom

```
data_Be2ReH
_chemical_formula_sum 'Be8 Re4 H4'
_space_group_name_H-M_alt 'I 41/a m d'
_space_group_IT_number 141
_cell_length_a 4.517
_cell_length_b 4.517
_cell_length_c 6.422
_cell_angle_alpha 90.00
_cell_angle_beta 90.00
_cell_angle_gamma 90.00
loop_
_space_group_symop_operation_xyz
'x,y,z'
'-x,-y,-z'
'-y+1/4,x+3/4,z+1/4'
'y+1/4,-x+3/4,-z+1/4'
'-x+1/2,-y,z+1/2'
'x+1/2,y,-z+1/2'
'y+1/4,-x+1/4,z+3/4'
'-y+1/4,x+1/4,-z+3/4'
'x,-y,-z'
'-x,y,z'
'-y+1/4,-x+1/4,-z+3/4'
'y+1/4,x+1/4,z+3/4'
'-x+1/2,y,-z+1/2'
'x+1/2,-y,z+1/2'
'y+1/4,x+3/4,-z+1/4'
'-y+1/4,-x+3/4,z+1/4'
'x+1/2,y+1/2,z+1/2'
'-x+1/2,-y+1/2,-z+1/2'
'-y+3/4,x+1/4,z+3/4'
'y+3/4,-x+1/4,-z+3/4'
'-x,-y+1/2,z'
'x,y+1/2,-z'
'y+3/4,-x+3/4,z+1/4'
'-y+3/4,x+3/4,-z+1/4'
'x+1/2,-y+1/2,-z+1/2'
'-x+1/2,y+1/2,z+1/2'
'-y+3/4,-x+3/4,-z+1/4'
'y+3/4,x+3/4,z+1/4'
'-x,y+1/2,-z'
'x,-y+1/2,z'
'y+3/4,x+1/4,-z+3/4'
'-y+3/4,-x+1/4,z+3/4'
loop_
_atom_site_label
_atom_site_fract_x
_atom_site_fract_y
_atom_site_fract_z
Be1 0.000 0.000 0.000
Re1 0.000 0.250 0.375
H1 0.000 0.250 0.875
```

11.
## LaTiCuPt2 (PBE)

Data for LaTiCuPt2 after structural relaxation.

Summary:
Total moment = 0.0 μB/cell
Total energy = -6.568 eV per atom
Volume = 196 Å³ per cell
DOS at the Fermi energy = 3.8 states/eV/f.u.

```
data_LaTiCuPt2
_chemical_formula_sum 'La2 Ti2 Cu2 Pt4'
_space_group_name_H-M_alt 'I -4 m 2'
_space_group_IT_number 119
_space_group_name_Hall 'I -4 -2'
_cell_length_a 3.995
_cell_length_b 3.995
_cell_length_c 12.308
_cell_angle_alpha 90.00
_cell_angle_beta 90.00
_cell_angle_gamma 90.00
loop_
_atom_site_label
_atom_site_fract_x
_atom_site_fract_y
_atom_site_fract_z
La1 0.000 0.000 0.000
Ti1 0.000 0.500 0.250
Cu1 0.000 0.500 0.750
Pt1 0.000 0.000 0.388
```

12.
## La2EuCd (PBE)

Data for La2EuCd after structural relaxation.

Summary:
Total moment = 28.9 μB/cell
Total energy = -5.333 eV per atom
Volume = 532 Å³ per cell
DOS at the Fermi energy = 4.4 states/eV/f.u.
Energy above the lowest structure with this stoichiometry = 0.055 eV per atom

```
data_La2EuCd
_chemical_formula_sum 'La8 Eu4 Cd4'
_space_group_name_H-M_alt 'F m -3 m'
_space_group_IT_number 225
_space_group_name_Hall '-F 4 2 3'
_cell_length_a 8.101
_cell_length_b 8.101
_cell_length_c 8.101
_cell_angle_alpha 90.00
_cell_angle_beta 90.00
_cell_angle_gamma 90.00
loop_
_atom_site_label
_atom_site_fract_x
_atom_site_fract_y
_atom_site_fract_z
La1 0.250 0.250 0.250
Eu1 0.000 0.000 0.000
Cd1 0.000 0.000 0.500
```